1.
AlAgO3, relaxed, DFT PBE; space-group type = No. 221; total magnetization = 2.00 μB per cell; density = 5.94 g cm⁻³; E_form (uncorrected) = -1187 meV/atom; V = 10.22 A^3/atom
1.0
3.711 0.000 0.000
0.000 3.711 0.000
0.000 0.000 3.711
O Ag Al
3 1 1
Direct
0.000 0.500 0.000
0.000 0.000 0.500
0.500 0.000 0.000
0.500 0.500 0.500
0.000 0.000 0.000

=====

2.
Al2AgOsO8, relaxed, DFT PBE; space-group type = No. 12; total magnetization = 0.61 μB per cell; density = 6.24 g cm⁻³; E_form (uncorrected) = -1462 meV/atom; V = 10.64 A^3/atom
1.0
4.543 -0.074 -0.052
-0.045 4.543 0.044
-0.063 0.074 6.189
Os O Al Ag
1 8 2 1
Direct
0.000 0.000 0.000
0.697 0.697 0.000
0.678 0.679 0.500
0.303 0.303 0.000
0.322 0.321 0.500
0.218 0.782 0.198
0.802 0.198 0.226
0.198 0.802 0.774
0.782 0.218 0.802
0.492 0.508 0.744
0.508 0.492 0.256
0.000 0.000 0.500

=====

3.
AlAgPO2, relaxed, DFT PBE; space-group type = No. 123; total magnetization = 0.00 μB per cell; density = 4.21 g cm⁻³; E_form (uncorrected) = 482 meV/atom; V = 15.60 A^3/atom
1.0
-2.487 -2.372 -1.957
2.598 -0.276 -2.968
2.074 -3.977 2.185
Ag P O Al
1 1 2 1
Direct
0.000 0.000 0.000
0.000 0.000 0.500
0.500 0.000 0.000
0.000 0.500 0.000
0.500 0.500 0.500

=====

4.
AlAgPO2, relaxed, DFT PBE; space-group type = No. 123; total magnetization = 1.16 μB per cell; density = 4.26 g cm⁻³; E_form (uncorrected) = -718 meV/atom; V = 15.44 A^3/atom
1.0
3.570 0.000 0.000
0.000 3.570 0.000
0.000 0.000 6.057
O P Al Ag
2 1 1 1
Direct
0.000 0.500 0.000
0.500 0.000 0.000
0.000 0.000 0.500
0.000 0.000 0.000
0.500 0.500 0.500

=====

5.
PaAlAgO6, relaxed, DFT PBE; space-group type = No. 149; total magnetization = 0.95 μB per cell; density = 6.96 g cm⁻³; E_form (uncorrected) = -2051 meV/atom; V = 12.24 A^3/atom
1.0
4.799 0.000 0.000
0.000 5.148 0.000
0.000 -2.574 4.458
O Pa Al Ag
6 1 1 1
Direct
0.730 0.003 0.308
0.270 0.003 0.695
0.270 0.305 0.308
0.730 0.305 0.997
0.270 0.692 0.997
0.730 0.692 0.695
0.000 0.333 0.667
0.500 0.000 0.000
0.500 0.667 0.333

=====

6.
PmAlAg2O4, relaxed, DFT PBE; space-group type = No. 82; total magnetization = 0.00 μB per cell; density = 5.90 g cm⁻³; E_form (uncorrected) = -1904 meV/atom; V = 15.90 A^3/atom
1.0
-3.007 4.737 2.348
-2.026 -4.804 -3.133
2.226 -4.986 2.680
O Pm Al Ag
4 1 1 2
Direct
0.399 0.819 0.795
0.024 0.205 0.604
0.601 0.396 0.420
0.976 0.580 0.181
0.500 0.250 0.750
0.000 0.500 0.500
0.500 0.750 0.250
0.000 0.000 0.000

=====

7.
Pm3AlAg3O8, relaxed, DFT PBE; space-group type = No. 12; total magnetization = 0.00 μB per cell; density = 6.14 g cm⁻³; E_form (uncorrected) = -2019 meV/atom; V = 16.47 A^3/atom
1.0
7.048 0.000 0.000
-3.524 5.902 -0.979
0.000 -4.730 6.722
Ag Pm O Al
3 3 8 1
Direct
0.000 0.500 0.000
0.000 0.000 0.000
0.500 0.500 0.000
0.500 0.500 0.500
0.500 0.000 0.500
0.000 0.500 0.500
0.204 0.967 0.318
0.796 0.033 0.682
0.783 0.566 0.338
0.217 0.434 0.662
0.237 0.033 0.682
0.758 0.517 0.691
0.763 0.967 0.318
0.242 0.483 0.309
0.000 0.000 0.500

=====

8.
Pm2AlAgO5, relaxed, DFT PBE; space-group type = No. 127; total magnetization = 0.00 μB per cell; density = 6.68 g cm⁻³; E_form (uncorrected) = -2494 meV/atom; V = 13.95 A^3/atom
1.0
5.620 0.000 0.000
0.000 6.685 0.000
0.000 0.000 6.685
O Pm Al Ag
10 4 2 2
Direct
0.764 0.369 0.131
0.764 0.631 0.869
0.236 0.369 0.131
0.236 0.131 0.631
0.764 0.131 0.631
0.236 0.631 0.869
0.764 0.869 0.369
0.236 0.869 0.369
0.500 0.000 0.000
0.500 0.500 0.500
0.500 0.821 0.679
0.500 0.179 0.321
0.500 0.679 0.179
0.500 0.321 0.821
0.000 0.000 0.500
0.000 0.500 0.000
0.000 0.500 0.500
0.000 0.000 0.000

=====

9.
PuAlAgO6, relaxed, DFT PBE; space-group type = No. 102; total magnetization = 0.20 μB per cell; density = 7.16 g cm⁻³; E_form (uncorrected) = -1839 meV/atom; V = 12.24 A^3/atom
1.0
4.859 0.000 0.000
0.000 4.859 0.000
0.000 0.000 9.328
O Pu Al Ag
12 2 2 2
Direct
0.177 0.823 0.494
0.198 0.802 0.189
0.786 0.214 0.817
0.714 0.714 0.317
0.677 0.677 0.994
0.698 0.698 0.689
0.823 0.177 0.494
0.323 0.323 0.994
0.286 0.286 0.317
0.214 0.786 0.817
0.302 0.302 0.689
0.802 0.198 0.189
0.500 0.500 0.168
0.000 0.000 0.668
0.500 0.500 0.831
0.000 0.000 0.331
0.500 0.500 0.501
0.000 0.000 0.001

=====

10.
PuAl2AgO8, relaxed, DFT PBE; space-group type = No. 2; total magnetization = 0.99 μB per cell; density = 6.50 g cm⁻³; E_form (uncorrected) = -1946 meV/atom; V = 11.36 A^3/atom
1.0
4.724 -0.134 -0.148
-0.093 4.717 0.140
-0.179 0.194 6.134
O Al Ag Pu
8 2 1 1
Direct
0.222 0.775 0.204
0.684 0.687 0.000
0.316 0.313 0.000
0.322 0.320 0.500
0.778 0.225 0.796
0.794 0.209 0.244
0.206 0.791 0.756
0.678 0.680 0.500
0.486 0.514 0.741
0.514 0.486 0.259
0.000 0.000 0.500
0.000 0.000 0.000

=====

11.
RbAlAgO2, relaxed, DFT PBE; space-group type = No. 67; total magnetization = 0.00 μB per cell; density = 3.71 g cm⁻³; E_form (uncorrected) = -1600 meV/atom; V = 22.56 A^3/atom
1.0
5.106 0.000 0.000
-2.553 5.983 0.000
0.000 0.000 7.386
O Al Ag Rb
4 2 2 2
Direct
0.584 0.169 0.107
0.416 0.831 0.893
0.916 0.831 0.107
0.084 0.169 0.893
0.750 0.000 0.000
0.250 0.000 0.000
0.500 0.000 0.500
0.000 0.000 0.500
0.250 0.500 0.199
0.750 0.500 0.801

=====

12.
AlAgS2O8, relaxed, DFT PBE; space-group type = No. 12; total magnetization = 0.00 μB per cell; density = 3.45 g cm⁻³; E_form (uncorrected) = -1548 meV/atom; V = 13.10 A^3/atom
1.0
-3.074 2.282 2.874
-4.624 -1.087 -0.597
1.075 -5.664 5.017
Ag O S Al
1 8 2 1
Direct
0.000 0.000 0.500
0.218 0.218 0.935
0.782 0.782 0.065
0.267 0.267 0.619
0.686 0.209 0.824
0.791 0.314 0.176
0.209 0.686 0.824
0.733 0.733 0.381
0.314 0.791 0.176
0.660 0.660 0.202
0.340 0.340 0.798
0.000 0.000 0.000